# 1
VASP calculation (PBE with a Hubbard U) on a relaxed structure of KCrCu2F8.

Unit cell a=6.224 b=6.224 c=6.224 alpha=104.92 beta=104.92 gamma=119.02
Positions (direct):
F1 0.668 0.007 0.660
F2 0.993 0.332 0.340
F3 0.860 0.637 0.223
F4 0.414 0.637 0.777
F5 0.347 0.007 0.340
F6 0.363 0.140 0.777
F7 0.363 0.586 0.223
F8 0.993 0.653 0.660
K1 0.000 0.000 0.000
Cu1 0.750 0.250 0.500
Cu2 0.500 0.500 0.000
Cr1 0.250 0.750 0.500

D(E_F)   0.764 states/eV/atom
Magnetic moment   0.08 μB/atom
Uncorrected energy   -54.13 eV per cell

---

# 2
VASP calculation (PBE with a Hubbard U) on a relaxed structure of LiCrCuF6.

Unit cell a=5.060 b=5.060 c=8.935 alpha=90.00 beta=90.00 gamma=120.00
Positions (direct):
Cu1 0.000 0.000 0.000
Cu2 0.000 0.000 0.500
Li1 0.667 0.333 0.750
Li2 0.333 0.667 0.250
F1 0.332 0.988 0.630
F2 0.012 0.668 0.870
F3 0.343 0.012 0.130
F4 0.988 0.657 0.370
F5 0.657 0.988 0.870
F6 0.012 0.343 0.630
F7 0.657 0.668 0.630
F8 0.668 0.657 0.130
F9 0.668 0.012 0.370
F10 0.988 0.332 0.130
F11 0.343 0.332 0.370
F12 0.332 0.343 0.870
Cr1 0.667 0.333 0.250
Cr2 0.333 0.667 0.750

D(E_F)   0.634 states/eV/atom
Magnetic moment   0.44 μB/atom
Uncorrected energy   -91.77 eV per cell

---

# 3
VASP calculation (PBE with a Hubbard U) on a relaxed structure of CrCuN2F.

Unit cell a=3.795 b=3.795 c=3.891 alpha=90.00 beta=90.00 gamma=90.00
Positions (direct):
Cr1 0.000 0.000 0.000
N1 0.500 0.000 0.000
N2 0.000 0.500 0.000
Cu1 0.500 0.500 0.500
F1 0.000 0.000 0.500

D(E_F)   0.298 states/eV/atom
Magnetic moment   0.08 μB/atom
Uncorrected energy   -28.25 eV per cell

---

# 4
VASP calculation (PBE with a Hubbard U) on a relaxed structure of CrCuN2F.

Unit cell a=3.755 b=3.755 c=3.972 alpha=90.00 beta=90.00 gamma=90.00
Positions (direct):
Cu1 0.000 0.000 0.000
F1 0.000 0.000 0.500
N1 0.500 0.000 0.000
N2 0.000 0.500 0.000
Cr1 0.500 0.500 0.500

D(E_F)   0.545 states/eV/atom
Magnetic moment   0.43 μB/atom
Uncorrected energy   -26.71 eV per cell

---

# 5
VASP calculation (PBE with a Hubbard U) on a relaxed structure of NaCrCu2F8.

Unit cell a=5.256 b=5.256 c=6.404 alpha=114.23 beta=114.23 gamma=90.00
Positions (direct):
F1 0.748 0.839 0.095
F2 0.043 0.377 0.368
F3 0.744 0.252 0.905
F4 0.347 0.256 0.095
F5 0.008 0.957 0.632
F6 0.326 0.992 0.368
F7 0.623 0.674 0.632
F8 0.161 0.653 0.905
Cr1 0.000 0.000 0.000
Cu1 0.250 0.750 0.500
Cu2 0.500 0.500 0.000
Na1 0.750 0.250 0.500

D(E_F)   0.509 states/eV/atom
Magnetic moment   0.08 μB/atom
Uncorrected energy   -55.58 eV per cell

---

# 6
VASP calculation (PBE with a Hubbard U) on a relaxed structure of Na2CrCuF6.

Unit cell a=5.443 b=5.628 c=8.267 alpha=90.00 beta=90.78 gamma=90.00
Positions (direct):
Cu1 0.000 0.500 0.000
Cu2 0.500 0.000 0.500
F1 0.313 0.722 0.077
F2 0.880 0.560 0.279
F3 0.790 0.799 0.950
F4 0.187 0.222 0.423
F5 0.120 0.440 0.721
F6 0.380 0.940 0.779
F7 0.290 0.701 0.450
F8 0.710 0.299 0.550
F9 0.687 0.278 0.923
F10 0.813 0.778 0.577
F11 0.210 0.201 0.050
F12 0.620 0.060 0.221
Na1 0.022 0.948 0.243
Na2 0.478 0.448 0.257
Na3 0.978 0.052 0.757
Na4 0.522 0.552 0.743
Cr1 0.500 0.000 0.000
Cr2 0.000 0.500 0.500

D(E_F)   0.004 states/eV/atom
Magnetic moment   0.30 μB/atom
Uncorrected energy   -99.21 eV per cell